The following is a PBE-GGA calculation of VPdCl2 after structural relaxation, from Alexandria.

Output
formation energy from raw total energies	-0.363	eV per atom
excess energy over the best structure of this formula in the dataset	0	meV per atom

Geometry as CIF:
```
data_VPdCl2
_chemical_formula_sum 'V3 Pd3 Cl6'
_cell_length_a 3.1120
_cell_length_b 3.1120
_cell_length_c 24.0704
_cell_angle_alpha 90.00
_cell_angle_beta 90.00
_cell_angle_gamma 120.00
_space_group_name_H-M_alt 'R -3 m'
_space_group_IT_number 166
_space_group_name_Hall '-R 3 2"'
loop_
_atom_site_label
_atom_site_type_symbol
_atom_site_fract_x
_atom_site_fract_y
_atom_site_fract_z
V1 V 0.0000 0.0000 0.0000
Pd1 Pd 0.0000 0.0000 0.5000
Cl1 Cl 0.0000 0.0000 0.3995
```

***

The following is a PBE-GGA calculation of Rh2W after structural relaxation, from Alexandria.

Output
ΔE_f	16.3	kJ/mol of atoms

Geometry as CIF:
```
data_Rh2W
_chemical_formula_sum 'Rh8 W4'
_cell_length_a 6.114
_cell_length_b 6.114
_cell_length_c 5.097
_cell_angle_alpha 90.00
_cell_angle_beta 90.00
_cell_angle_gamma 90.00
_space_group_name_H-M_alt 'I 4/m c m'
_space_group_IT_number 140
_space_group_name_Hall '-I 4 2c'
loop_
_atom_site_label
_atom_site_type_symbol
_atom_site_fract_x
_atom_site_fract_y
_atom_site_fract_z
Rh1 Rh 0.150 0.350 0.000
W1 W 0.000 0.000 0.250
```

***

| no. | uncorrected energy (eV per atom) | magnetization (μB/atom) |
| --- | --- | --- |
| 1 | -4.86 | 0.0602 |
| 2 | -9.05 | 0.0000 |